Record 1
Material: Sb3IrW
Method: DFT, PBE-GGA
State: relaxed

abc: 5.1374 5.1374 5.1374
angles: 90.00 90.00 90.00
Sites, in units of the cell vectors:
Sb  0.0000  0.0000  0.5000
Sb  0.0000  0.5000  0.0000
Sb  0.5000  0.0000  0.0000
Ir  0.5000  0.5000  0.5000
W  0.0000  0.0000  0.0000

Calculated values
**Symmetry**: No. 221
**Size of the total moment**: 0.00 μB/f.u.
**Uncorrected formation energy**: 1.284 eV/atom
**Density of states at the Fermi level**: 1.175 states/eV per atom
**Energy**: -5.552 eV per atom

---

Record 2
Material: BaTaCo3
Method: DFT, PBE-GGA
State: relaxed

abc: 4.6218 4.6218 4.6218
angles: 90.00 90.00 90.00
Sites, in units of the cell vectors:
Ba  0.0000  0.0000  0.0000
Ta  0.5000  0.5000  0.5000
Co  0.0000  0.0000  0.5000
Co  0.0000  0.5000  0.0000
Co  0.5000  0.0000  0.0000

Calculated values
**Symmetry**: No. 221
**Size of the total moment**: 1.37 μB/f.u.
**Density of states at the Fermi level**: 1.435 states/eV per atom
**Energy**: -4.562 eV per atom
**Formation energy from the elements**: 2.46 eV per atom

---

Record 3
Material: NdDy2Ag
Method: DFT, PBE-GGA
State: relaxed

abc: 3.6278 3.6278 31.3448
angles: 90.00 90.00 120.00
Sites, in units of the cell vectors:
Nd  0.0000  0.0000  0.0000
Nd  0.3333  0.6667  0.6667
Nd  0.6667  0.3333  0.3333
Dy  0.0000  0.0000  0.2389
Dy  0.0000  0.0000  0.4276
Dy  0.3333  0.6667  0.0943
Dy  0.3333  0.6667  0.9056
Dy  0.6667  0.3333  0.5722
Dy  0.6667  0.3333  0.7609
Ag  0.0000  0.0000  0.8333
Ag  0.3333  0.6667  0.5000
Ag  0.6667  0.3333  0.1667

Calculated values
**Symmetry**: No. 160
**Size of the total moment**: 0.00 μB/f.u.
**Density of states at the Fermi level**: 1.224 states/eV per atom
**Energy**: -4.207 eV per atom
**Formation energy from the elements**: 0.00 eV per atom

---

Record 4
Material: InAgGe
Method: DFT, PBE-GGA
State: relaxed

abc: 3.1839 3.1839 12.3646
angles: 90.00 90.00 90.00
Sites, in units of the cell vectors:
In  0.0000  0.0000  0.0000
In  0.5000  0.5000  0.5000
Ag  0.0000  0.0000  0.6717
Ag  0.5000  0.5000  0.1717
Ge  0.0000  0.0000  0.3178
Ge  0.5000  0.5000  0.8178

Calculated values
**Symmetry**: No. 107
**Size of the total moment**: 0.00 μB/f.u.
**Density of states at the Fermi level**: 0.476 states/eV per atom
**Energy**: -3.242 eV per atom
**Formation energy from the elements**: 0.16 eV per atom

---

Record 5
Material: Os2RuBr
Method: DFT, PBE-GGA
State: relaxed

abc: 2.7606 4.5920 12.4834
angles: 90.00 90.00 90.00
Sites, in units of the cell vectors:
Os  0.0000  0.0000  0.1807
Os  0.0000  0.0000  0.8193
Os  0.5000  0.5000  0.1807
Os  0.5000  0.5000  0.8193
Ru  0.0000  0.5000  0.0000
Ru  0.5000  0.0000  0.0000
Br  0.0000  0.5000  0.5000
Br  0.5000  0.0000  0.5000

Calculated values
**Symmetry**: No. 65
**Size of the total moment**: 0.47 μB/f.u.
**Uncorrected formation energy**: 1.047 eV/atom
**Density of states at the Fermi level**: 1.413 states/eV per atom
**Energy**: -7.305 eV per atom

---

Record 6
Material: La3Y2Tm4
Method: DFT, PBE-GGA
State: relaxed

abc: 10.1866 10.1866 6.0809
angles: 96.56 96.56 70.83
Sites, in units of the cell vectors:
La  0.1248  0.8752  0.7500
La  0.2199  0.4498  0.9142
La  0.4498  0.2199  0.4142
La  0.5502  0.7801  0.5858
La  0.7801  0.5502  0.0858
La  0.8752  0.1248  0.2500
Y  0.0073  0.7608  0.1987
Y  0.2392  0.9927  0.3013
Y  0.7608  0.0073  0.6987
Y  0.9927  0.2392  0.8013
Tm  0.0912  0.3538  0.3568
Tm  0.3213  0.5732  0.4694
Tm  0.3538  0.0912  0.8568
Tm  0.4268  0.6787  0.0306
Tm  0.5732  0.3213  0.9694
Tm  0.6462  0.9088  0.1432
Tm  0.6787  0.4268  0.5306
Tm  0.9088  0.6462  0.6432

Calculated values
**Symmetry**: No. 15
**Size of the total moment**: 0.00 μB/f.u.
**Density of states at the Fermi level**: 1.576 states/eV per atom
**Energy**: -4.957 eV per atom
**Formation energy from the elements**: 0.11 eV per atom

---

Record 7
Material: BeO2
Method: DFT, PBE-GGA
State: relaxed

abc: 3.7376 3.7383 9.0660
angles: 90.00 90.00 90.00
Sites, in units of the cell vectors:
Be  0.9997  0.2492  0.1250
Be  0.0003  0.7492  0.3750
Be  0.4997  0.2508  0.8750
Be  0.5003  0.7508  0.6250
O  0.1772  0.4985  0.2502
O  0.2496  0.0728  0.9997
O  0.2504  0.9272  0.4997
O  0.3228  0.5015  0.7502
O  0.6772  0.0015  0.7498
O  0.7496  0.4272  0.0003
O  0.7504  0.5728  0.5003
O  0.8228  0.9985  0.2498

Calculated values
**Symmetry**: No. 19
**Size of the total moment**: 2.01 μB/f.u.
**Uncorrected formation energy**: -0.980 eV/atom
**Density of states at the Fermi level**: 0.100 states/eV per atom
**Energy**: -5.528 eV per atom

---

Record 8
Material: Rb3TlAu2I6
Method: DFT, PBE-GGA
State: relaxed

abc: 9.2030 9.2030 9.6018
angles: 90.00 90.00 120.00
Sites, in units of the cell vectors:
Rb  0.0000  0.0000  0.0000
Rb  0.3333  0.6667  0.6271
Rb  0.6667  0.3333  0.3729
Tl  0.0000  0.0000  0.5000
Au  0.3333  0.6667  0.2615
Au  0.6667  0.3333  0.7385
I  0.1635  0.3271  0.2739
I  0.1635  0.8365  0.2739
I  0.3271  0.1635  0.7261
I  0.6729  0.8365  0.2739
I  0.8365  0.1635  0.7261
I  0.8365  0.6729  0.7261

Calculated values
**Symmetry**: No. 164
**Size of the total moment**: 0.00 μB/f.u.
**Uncorrected formation energy**: -0.769 eV/atom
**Energy**: -2.529 eV per atom

---

Record 9
Material: Sr2HCl
Method: DFT, PBE-GGA
State: relaxed

abc: 6.5124 6.5124 12.1634
angles: 90.00 90.00 90.00
Sites, in units of the cell vectors:
Sr  0.2027  0.2500  0.1250
Sr  0.2500  0.7027  0.3750
Sr  0.2500  0.7973  0.8750
Sr  0.2973  0.2500  0.6250
Sr  0.7027  0.7500  0.6250
Sr  0.7500  0.2027  0.8750
Sr  0.7500  0.2973  0.3750
Sr  0.7973  0.7500  0.1250
H  0.0000  0.0000  0.0000
H  0.0000  0.5000  0.2500
H  0.5000  0.0000  0.7500
H  0.5000  0.5000  0.5000
Cl  0.0000  0.0000  0.5000
Cl  0.0000  0.5000  0.7500
Cl  0.5000  0.0000  0.2500
Cl  0.5000  0.5000  0.0000

Calculated values
**Symmetry**: No. 122
**Size of the total moment**: 1.86 μB/f.u.
**Density of states at the Fermi level**: 0.685 states/eV per atom
**Energy**: -3.021 eV per atom

---

Record 10
Material: LiAgTe2S4
Method: DFT, PBE-GGA
State: relaxed

abc: 6.4584 6.4272 6.7316
angles: 58.73 58.28 62.99
Sites, in units of the cell vectors:
Li  0.0000  0.0000  0.0000
Ag  0.5028  0.5028  0.4972
Te  0.2502  0.2502  0.2498
Te  0.7502  0.7502  0.7498
S  0.1186  0.6220  0.3780
S  0.3814  0.8855  0.6186
S  0.6220  0.1186  0.8814
S  0.8855  0.3814  0.1145

Calculated values
**Symmetry**: No. 42
**Size of the total moment**: 0.00 μB/f.u.
**Uncorrected formation energy**: -0.155 eV/atom
**Density of states at the Fermi level**: 0.073 states/eV per atom
**Energy**: -3.599 eV per atom

---

Record 11
Material: LiF
Method: DFT, PBE-GGA
State: relaxed

abc: 5.9662 5.9662 5.9662
angles: 90.00 90.00 90.00
Sites, in units of the cell vectors:
Li  0.1574  0.1574  0.1574
Li  0.1574  0.8426  0.8426
Li  0.3426  0.3426  0.6574
Li  0.3426  0.6574  0.3426
Li  0.6574  0.3426  0.3426
Li  0.6574  0.6574  0.6574
Li  0.8426  0.1574  0.8426
Li  0.8426  0.8426  0.1574
F  0.1662  0.1662  0.8338
F  0.1662  0.8338  0.1662
F  0.3338  0.3338  0.3338
F  0.3338  0.6662  0.6662
F  0.6662  0.3338  0.6662
F  0.6662  0.6662  0.3338
F  0.8338  0.1662  0.1662
F  0.8338  0.8338  0.8338

Calculated values
**Symmetry**: No. 217
**Size of the total moment**: 0.01 μB/f.u.
**Uncorrected formation energy**: -2.900 eV/atom
**Density of states at the Fermi level**: 0.000 states/eV per atom
**Energy**: -4.792 eV per atom

---

Record 12
Material: LiCaRhCl6
Method: DFT, PBE-GGA
State: relaxed

abc: 6.0913 6.0913 11.4907
angles: 90.00 90.00 90.00
Sites, in units of the cell vectors:
Li  0.0000  0.0000  0.0000
Li  0.5000  0.5000  0.5000
Ca  0.0000  0.0000  0.3357
Ca  0.5000  0.5000  0.8357
Rh  0.0000  0.0000  0.6724
Rh  0.5000  0.5000  0.1724
Cl  0.1808  0.1808  0.8287
Cl  0.1921  0.1921  0.5239
Cl  0.2234  0.2234  0.1658
Cl  0.2766  0.7234  0.6658
Cl  0.3079  0.6921  0.0239
Cl  0.3192  0.6808  0.3287
Cl  0.6808  0.3192  0.3287
Cl  0.6921  0.3079  0.0239
Cl  0.7234  0.2766  0.6658
Cl  0.7766  0.7766  0.1658
Cl  0.8079  0.8079  0.5239
Cl  0.8192  0.8192  0.8287

Calculated values
**Symmetry**: No. 102
**Size of the total moment**: 0.00 μB/f.u.
**Uncorrected formation energy**: -1.403 eV/atom
**Energy**: -3.886 eV per atom

---

Record 13
Material: TaRhSe2
Method: DFT, PBE-GGA
State: relaxed

abc: 8.8227 3.4152 6.5703
angles: 90.00 100.34 90.00
Sites, in units of the cell vectors:
Ta  0.0000  0.0000  0.0000
Ta  0.5000  0.5000  0.0000
Rh  0.2838  0.0000  0.9127
Rh  0.7838  0.5000  0.9127
Se  0.2076  0.5000  0.2105
Se  0.4961  0.0000  0.6994
Se  0.7076  0.0000  0.2105
Se  0.9961  0.5000  0.6994

Calculated values
**Symmetry**: No. 8
**Size of the total moment**: 0.00 μB/f.u.
**Uncorrected formation energy**: -0.323 eV/atom
**Density of states at the Fermi level**: 0.260 states/eV per atom
**Energy**: -6.867 eV per atom

---

Record 14
Material: TeRu
Method: DFT, PBE-GGA
State: relaxed

abc: 10.1210 3.3504 7.2011
angles: 90.00 110.55 90.00
Sites, in units of the cell vectors:
Te  0.0000  0.0000  0.0000
Te  0.1135  0.0000  0.6211
Te  0.3441  0.0000  0.2853
Te  0.5000  0.5000  0.0000
Te  0.6135  0.5000  0.6211
Te  0.8441  0.5000  0.2853
Ru  0.1632  0.5000  0.3356
Ru  0.2155  0.5000  0.9412
Ru  0.3837  0.0000  0.6964
Ru  0.6632  0.0000  0.3356
Ru  0.7155  0.0000  0.9412
Ru  0.8837  0.5000  0.6964

Calculated values
**Symmetry**: No. 8
**Size of the total moment**: 0.00 μB/f.u.
**Uncorrected formation energy**: 0.287 eV/atom
**Density of states at the Fermi level**: 1.038 states/eV per atom
**Energy**: -5.922 eV per atom

---

Record 15
Material: NaPbSeBr2
Method: DFT, PBE-GGA
State: relaxed

abc: 5.2482 5.2482 5.5125
angles: 90.00 90.00 90.00
Sites, in units of the cell vectors:
Na  0.0000  0.0000  0.0000
Pb  0.5000  0.5000  0.5000
Se  0.0000  0.0000  0.5000
Br  0.0000  0.5000  0.0000
Br  0.5000  0.0000  0.0000

Calculated values
**Symmetry**: No. 123
**Size of the total moment**: 1.01 μB/f.u.
**Uncorrected formation energy**: -0.355 eV/atom
**Density of states at the Fermi level**: 0.532 states/eV per atom
**Energy**: -2.727 eV per atom

---

Record 16
Material: BeSe3Cl
Method: DFT, PBE-GGA
State: relaxed

abc: 4.6185 4.6185 4.6185
angles: 90.00 90.00 90.00
Sites, in units of the cell vectors:
Be  0.0000  0.0000  0.0000
Se  0.0000  0.0000  0.5000
Se  0.0000  0.5000  0.0000
Se  0.5000  0.0000  0.0000
Cl  0.5000  0.5000  0.5000

Calculated values
**Symmetry**: No. 221
**Size of the total moment**: 0.00 μB/f.u.
**Uncorrected formation energy**: 0.366 eV/atom
**Density of states at the Fermi level**: 0.677 states/eV per atom
**Energy**: -2.839 eV per atom

---

Record 17
Material: Na3AlOs
Method: DFT, PBE-GGA
State: relaxed

abc: 5.4660 5.4660 5.4660
angles: 90.00 90.00 90.00
Sites, in units of the cell vectors:
Na  0.0000  0.0000  0.5000
Na  0.0000  0.5000  0.0000
Na  0.5000  0.0000  0.0000
Al  0.5000  0.5000  0.5000
Os  0.0000  0.0000  0.0000

Calculated values
**Symmetry**: No. 221
**Size of the total moment**: 1.55 μB/f.u.
**Density of states at the Fermi level**: 1.507 states/eV per atom
**Energy**: -2.321 eV per atom
**Formation energy from the elements**: 1.47 eV per atom

---

Record 18
Material: La2CdRh
Method: DFT, PBE-GGA
State: relaxed

abc: 3.8734 3.7654 7.4924
angles: 90.00 97.38 90.00
Sites, in units of the cell vectors:
La  0.0777  0.0000  0.2823
La  0.9223  0.0000  0.7177
Cd  0.5000  0.5000  0.0000
Rh  0.5000  0.5000  0.5000

Calculated values
**Symmetry**: No. 10
**Size of the total moment**: 0.00 μB/f.u.
**Density of states at the Fermi level**: 0.807 states/eV per atom
**Energy**: -5.044 eV per atom
**Formation energy from the elements**: -0.51 eV per atom

---

Record 19
Material: MgSc6Ni2
Method: DFT, PBE-GGA
State: relaxed

abc: 7.8670 7.8670 7.8670
angles: 111.97 110.70 105.81
Sites, in units of the cell vectors:
Mg  0.0000  0.0000  0.0000
Mg  0.5000  0.5000  0.0000
Sc  0.0269  0.2351  0.7918
Sc  0.1866  0.2883  0.4750
Sc  0.1866  0.7117  0.8983
Sc  0.3193  0.0202  0.7009
Sc  0.3193  0.6185  0.2991
Sc  0.4433  0.2351  0.2082
Sc  0.5567  0.7649  0.7918
Sc  0.6807  0.3815  0.7009
Sc  0.6807  0.9798  0.2991
Sc  0.8134  0.2883  0.1017
Sc  0.8134  0.7117  0.5250
Sc  0.9731  0.7649  0.2082
Ni  0.1258  0.6258  0.5000
Ni  0.3510  0.0000  0.3510
Ni  0.6490  0.0000  0.6490
Ni  0.8742  0.3742  0.5000

Calculated values
**Symmetry**: No. 71
**Size of the total moment**: 0.00 μB/f.u.
**Density of states at the Fermi level**: 1.459 states/eV per atom
**Energy**: -5.922 eV per atom
**Formation energy from the elements**: -0.24 eV per atom

---

Record 20
Material: NaPa4CuN8
Method: DFT, PBE-GGA
State: relaxed

abc: 6.2064 6.2064 6.2064
angles: 70.58 70.58 70.58
Sites, in units of the cell vectors:
Na  0.0000  0.0000  0.0000
Pa  0.4940  0.9836  0.9836
Pa  0.5592  0.5592  0.5592
Pa  0.9836  0.4940  0.9836
Pa  0.9836  0.9836  0.4940
Cu  0.3586  0.3586  0.3586
N  0.2068  0.7532  0.7532
N  0.2187  0.2187  0.2187
N  0.2910  0.2910  0.7362
N  0.2910  0.7362  0.2910
N  0.7362  0.2910  0.2910
N  0.7424  0.7424  0.7424
N  0.7532  0.2068  0.7532
N  0.7532  0.7532  0.2068

Calculated values
**Symmetry**: No. 160
**Size of the total moment**: 0.00 μB/f.u.
**Uncorrected formation energy**: -0.993 eV/atom
**Density of states at the Fermi level**: 0.662 states/eV per atom
**Energy**: -8.850 eV per atom